DFT (PBE) results for a relaxed structure of Dy2Al3Au.

Energy relative to the elements (meV/atom): -635
Density (Mg/m³): 7.9
E (eV/cell): -55.03
Volume (Å³/atom): 21.162

```
data_Dy2Al3Au
_space_group_name_H-M_alt 'C 1 m 1'
_space_group_IT_number 8
_cell_length_a 10.4875
_cell_length_b 4.5273
_cell_length_c 7.2024
_cell_angle_alpha 90.00
_cell_angle_beta 132.05
_cell_angle_gamma 90.00
loop_
_space_group_symop_operation_xyz
'x,y,z'
'x,-y,z'
'x+1/2,y+1/2,z'
'x+1/2,-y+1/2,z'
loop_
_atom_site_label
_atom_site_type_symbol
_atom_site_fract_x
_atom_site_fract_y
_atom_site_fract_z
Dy1 Dy 0.0000 0.0000 0.0000
Dy2 Dy 0.0827 0.0000 0.5862
Al1 Al 0.1965 0.5000 0.9890
Al2 Al 0.2042 0.5000 0.3976
Al3 Al 0.3755 0.0000 0.1815
Au1 Au 0.3717 0.0000 0.5748
```